VASP calculation (PBEsol) on a geometry-optimized YSc2Fe structure.

Cell: 3.2821 5.0145 9.9966 Å, 90.00 90.00 90.00°
With the nearest neighbours (Å) after each atom.
Positions (direct):
Y  0.0000  0.0000  0.0000  4 Fe 3.00, 4 Sc 3.18, 2 Y 3.28
Y  0.5000  0.5000  0.5000  4 Fe 3.00, 4 Sc 3.18, 2 Y 3.28
Sc  0.0000  0.5000  0.1953  2 Fe 2.55
Sc  0.0000  0.5000  0.8047  2 Fe 2.55
Sc  0.5000  0.0000  0.3047  2 Fe 2.55
Sc  0.5000  0.0000  0.6953  2 Fe 2.55
Fe  0.0000  0.0000  0.5000  4 Sc 2.55
Fe  0.5000  0.5000  0.0000  4 Sc 2.55

Calculated formation energy   -11 meV per atom
Symmetry   No. 71
Excess energy over the best structure of this formula in the dataset   2.9 kJ per mole of atoms
Raw total energy   -7.260 eV/atom
N(E_F)   0.9736 states/eV/atom